## TcRu2Pt2Rh2 (GGA-PBE)

Data for a relaxed TcRu2Pt2Rh2 crystal.

Computed properties:
- total energy (eV per atom) = -7.72
- volume (A^3/atom) = 15.82
- energy of formation (eV per atom) = 0.24

abc: 4.6753 4.6753 7.6469
angles: 115.17 115.17 48.49
With the nearest neighbours (Å) after each atom.
Sites, in units of the cell vectors:
Tc  0.0000  0.0000  0.0000  2 Ru 2.69, 6 Pt 2.71-2.72, 4 Rh 2.75
Ru  0.0534  0.0534  0.3754  1 Ru 2.47, 4 Rh 2.56-2.68, 2 Pt 2.66, 1 Tc 2.69
Ru  0.9466  0.9466  0.6246  1 Ru 2.47, 4 Rh 2.56-2.68, 2 Pt 2.66, 1 Tc 2.69
Pt  0.3563  0.3563  0.1320  2 Ru 2.66, 4 Rh 2.66-2.82, 3 Tc 2.71-2.72, 2 Pt 2.76
Pt  0.6437  0.6437  0.8680  2 Ru 2.66, 4 Rh 2.66-2.82, 3 Tc 2.71-2.72, 2 Pt 2.76
Rh  0.2942  0.2942  0.7358  4 Ru 2.56-2.68, 4 Pt 2.66-2.82, 2 Tc 2.75
Rh  0.7058  0.7058  0.2642  4 Ru 2.56-2.68, 4 Pt 2.66-2.82, 2 Tc 2.75

---

## NaTh2Fe (GGA-PBE)

Data for a relaxed NaTh2Fe crystal.

Computed properties:
- total energy (eV per atom) = -6.03
- volume (A^3/atom) = 34.12
- energy of formation (eV per atom) = 0.12

abc: 10.5898 10.5898 10.5898
angles: 21.24 21.24 21.24
With the nearest neighbours (Å) after each atom.
Sites, in units of the cell vectors:
Na  0.0000  0.0000  0.0000  2 Th 3.73, 6 Na 3.90
Th  0.1201  0.1201  0.1201  3 Fe 2.68
Th  0.8799  0.8799  0.8799  3 Fe 2.68
Fe  0.5000  0.5000  0.5000  6 Th 2.68

---

## Fe2As2Au (GGA-PBE)

Data for a relaxed Fe2As2Au crystal.

Computed properties:
- total energy (eV per atom) = -5.78
- volume (A^3/atom) = 14.37
- energy of formation (eV per atom) = 0.12

abc: 6.9231 6.9231 2.9982
angles: 90.00 90.00 90.00
With the nearest neighbours (Å) after each atom.
Sites, in units of the cell vectors:
Fe  0.1375  0.3625  0.0000  6 As 2.51-2.55, 2 Au 2.68, 1 Fe 2.69
Fe  0.3625  0.8625  0.0000  6 As 2.51-2.55, 2 Au 2.68, 1 Fe 2.69
Fe  0.6375  0.1375  0.0000  6 As 2.51-2.55, 2 Au 2.68, 1 Fe 2.69
Fe  0.8625  0.6375  0.0000  6 As 2.51-2.55, 2 Au 2.68, 1 Fe 2.69
As  0.1524  0.6524  0.5000  6 Fe 2.51-2.55
As  0.3476  0.1524  0.5000  6 Fe 2.51-2.55
As  0.6524  0.8476  0.5000  6 Fe 2.51-2.55
As  0.8476  0.3476  0.5000  6 Fe 2.51-2.55
Au  0.0000  0.0000  0.0000  4 Fe 2.68, 2 Au 3.00
Au  0.5000  0.5000  0.0000  4 Fe 2.68, 2 Au 3.00

---

Q: Among the records above, which one has the highest volume?
A: NaTh2Fe

---

Q: The highest volume belongs to which entry?
A: NaTh2Fe